A plane-wave DFT calculation with GGA+U was carried out for crystalline K3Dy3CrO8 at its relaxed geometry.

The structure in POSCAR format:
```
K3Dy3CrO8
1.0
6.682 0.000 0.000
-3.341 5.845 -0.001
0.000 -3.856 6.284
Cr K O Dy
1 3 8 3
Direct
0.000 0.000 0.500
0.500 0.500 0.000
0.000 0.500 0.000
0.000 0.000 0.000
0.237 0.035 0.332
0.790 0.579 0.327
0.273 0.547 0.316
0.727 0.453 0.684
0.210 0.421 0.673
0.798 0.035 0.332
0.763 0.965 0.668
0.202 0.965 0.668
0.000 0.500 0.500
0.500 0.500 0.500
0.500 0.000 0.500
```

Summary:
uncorrected energy: -101.9 eV/f.u.
space group: C2/m (12)
crystal system: monoclinic